[1]
The following is a DFT calculation (PBE) of a relaxed Pm6YHo2Tm crystal.

Properties
SG ... C2/c, No. 15
E_tot ... -0.1744 hartree per atom
Total moment ... 0.00 μB/f.u.
Crystal system ... monoclinic

Unit cell a=8.924 b=8.924 c=9.603 alpha=93.70 beta=93.70 gamma=118.03
Positions (direct):
Pm 0.012 0.565 0.188
Pm 0.121 0.761 0.554
Pm 0.239 0.879 0.946
Pm 0.290 0.506 0.382
Pm 0.435 0.988 0.312
Pm 0.494 0.710 0.118
Pm 0.506 0.290 0.882
Pm 0.565 0.012 0.688
Pm 0.710 0.494 0.618
Pm 0.761 0.121 0.054
Pm 0.879 0.239 0.446
Pm 0.988 0.435 0.812
Y 0.026 0.974 0.250
Y 0.974 0.026 0.750
Ho 0.201 0.303 0.045
Ho 0.303 0.201 0.545
Ho 0.697 0.799 0.455
Ho 0.799 0.697 0.955
Tm 0.411 0.589 0.750
Tm 0.589 0.411 0.250


[2]
The following is a DFT calculation (PBE) of a relaxed Pm2Y6Ho2Tm crystal.

Properties
SG ... Cmmm, No. 65
E_tot ... -0.2015 hartree per atom
Total moment ... 0.00 μB/f.u.
Crystal system ... orthorhombic

Unit cell a=6.652 b=6.652 c=10.606 alpha=90.00 beta=90.00 gamma=129.64
Positions (direct):
Pm 0.134 0.866 0.000
Pm 0.866 0.134 0.000
Y 0.000 0.000 0.297
Y 0.000 0.000 0.703
Y 0.347 0.653 0.210
Y 0.347 0.653 0.790
Y 0.653 0.347 0.210
Y 0.653 0.347 0.790
Ho 0.206 0.794 0.500
Ho 0.794 0.206 0.500
Tm 0.500 0.500 0.500


[3]
The following is a DFT calculation (PBE) of a relaxed PmY2Ho2Tm2 crystal.

Properties
SG ... C2/m, No. 12
E_tot ... -0.1870 hartree per atom
Total moment ... 0.00 μB/f.u.
Crystal system ... monoclinic

Unit cell a=6.136 b=6.136 c=7.930 alpha=97.42 beta=97.42 gamma=48.24
Positions (direct):
Pm 0.000 0.000 0.000
Y 0.143 0.143 0.429
Y 0.857 0.857 0.571
Ho 0.429 0.429 0.285
Ho 0.571 0.571 0.715
Tm 0.285 0.285 0.858
Tm 0.715 0.715 0.142


Q: total moment of number 2 (Pm2Y6Ho2Tm)?
A: 0.00 μB/f.u.